This record from Alexandria via LeMat-Bulk describes crystalline Sr6As2PtBr3 at its relaxed geometry. The functional is PBE.

Computed properties:
ΔE_f (raw): -1.454 eV/atom
spin magnetization: 0.0 μB/cell
total energy: -95.8 eV for the cell shown

Cell lengths 19.8984, 4.5154, 9.2335 Å; angles 90.00, 104.95, 90.00 degrees
Space group C2/m (No. 12)
Asymmetric unit:
Sr1 0.0056 0.0000 0.2274 x4
Sr2 0.1548 0.5000 0.1020 x4
Sr3 0.1747 0.5000 0.5622 x4
As1 0.1650 0.0000 0.3321 x4
Pt1 0.0000 0.5000 0.0000 x2
Br1 0.0000 0.5000 0.5000 x2
Br2 0.1694 0.0000 0.8328 x4